Entry 1:
Compound: Pm2Sm2Mg15
Source: the Alexandria database
Functional: PBE
Structure: relaxed

a = 7.9499 Å, b = 7.9499 Å, c = 7.9499 Å
α = 83.33°, β = 83.33°, γ = 83.33°
With the nearest neighbours (Å) after each atom.
Atoms (fractional coordinates):
Pm (0.0964, 0.0964, 0.0964)  1 Pm 2.95, 3 Mg 3.23
Pm (0.9036, 0.9036, 0.9036)  1 Pm 2.95, 3 Mg 3.23
Sm (0.3319, 0.3319, 0.3319)  1 Pm 3.60, 15 Mg 3.70-3.96
Sm (0.6681, 0.6681, 0.6681)  1 Pm 3.60, 15 Mg 3.70-3.96
Mg (0.0000, 0.0000, 0.5000)  8 Mg 3.02-3.11, 2 Pm 3.23
Mg (0.0000, 0.3022, 0.6978)  8 Mg 3.02-3.26
Mg (0.0000, 0.5000, 0.0000)  8 Mg 3.02-3.11, 2 Pm 3.23
Mg (0.0000, 0.6978, 0.3022)  8 Mg 3.02-3.26
Mg (0.1594, 0.6441, 0.6441)  8 Mg 3.01-3.26
Mg (0.3022, 0.0000, 0.6978)  8 Mg 3.02-3.26
Mg (0.3022, 0.6978, 0.0000)  8 Mg 3.02-3.26
Mg (0.3559, 0.3559, 0.8406)  8 Mg 3.01-3.26
Mg (0.3559, 0.8406, 0.3559)  8 Mg 3.01-3.26
Mg (0.5000, 0.0000, 0.0000)  8 Mg 3.02-3.11, 2 Pm 3.23
Mg (0.6441, 0.1594, 0.6441)  8 Mg 3.01-3.26
Mg (0.6441, 0.6441, 0.1594)  8 Mg 3.01-3.26
Mg (0.6978, 0.0000, 0.3022)  8 Mg 3.02-3.26
Mg (0.6978, 0.3022, 0.0000)  8 Mg 3.02-3.26
Mg (0.8406, 0.3559, 0.3559)  8 Mg 3.01-3.26

- Symmetry: R-3m
- ΔE_f: 0.012 eV/atom

Entry 2:
Compound: Tc2AgBr2
Source: the Alexandria database
Functional: PBE
Structure: relaxed

a = 6.2718 Å, b = 6.2718 Å, c = 6.2718 Å
α = 137.73°, β = 137.73°, γ = 61.32°
With the nearest neighbours (Å) after each atom.
Atoms (fractional coordinates):
Tc (0.0963, 0.0963, 0.0000)  1 Tc 2.08
Tc (0.9037, 0.9037, 0.0000)  1 Tc 2.08
Ag (0.5000, 0.5000, 0.0000)  8 Tc 3.36, 8 Br 3.52
Br (0.2500, 0.7500, 0.5000)  4 Tc 2.80
Br (0.7500, 0.2500, 0.5000)  4 Tc 2.80

- Symmetry: I4/mmm
- Uncorrected formation energy: 0.80 eV/atom

Entry 3:
Compound: SmRuPbO6
Source: the Alexandria database
Functional: PBE
Structure: relaxed

a = 5.6557 Å, b = 5.6557 Å, c = 4.8856 Å
α = 90.00°, β = 90.00°, γ = 120.00°
With the nearest neighbours (Å) after each atom.
Atoms (fractional coordinates):
Sm (0.0000, 0.0000, 0.0000)  6 O 2.30
Ru (0.3333, 0.6667, 0.0000)  6 O 1.93
Pb (0.6667, 0.3333, 0.5000)  6 O 2.48
O (0.0570, 0.3813, 0.2253)  1 Ru 1.93
O (0.0570, 0.6757, 0.7747)  1 Ru 1.93
O (0.3243, 0.3813, 0.7747)  1 Ru 1.93
O (0.3243, 0.9430, 0.2253)  1 Ru 1.93
O (0.6187, 0.6757, 0.2253)  1 Ru 1.93
O (0.6187, 0.9430, 0.7747)  1 Ru 1.93

- Symmetry: P312
- Uncorrected formation energy: -1.48 eV/atom

Energy / eV/atom: -2.244 -4.589 -6.749
Spin magnetization / μB/atom: 0.0000 0.1204 0.0774